(1)
BaHg2RhAu PBE-GGA optimized geometry; space-group type = P4/mmm, No. 123; energy of formation from the pure elements = -256.6 meV/atom
1.0
5.224 0.000 0.000
0.000 5.224 0.000
0.000 0.000 5.323
Ba Hg Rh Au
1 2 1 1
Cartesian
0.000 0.000 0.000
0.000 2.612 2.661
2.612 0.000 2.661
2.612 2.612 2.661
2.612 2.612 0.000

***

(2)
Ba3HgSb2Au6 PBE-GGA optimized geometry; formation energy (no corrections) = -0.52 eV per atom; space-group type = P-3m1, No. 164
1.0
6.781 0.000 0.000
-3.391 5.873 0.000
0.000 0.000 9.032
Ba Hg Sb Au
3 1 2 6
Cartesian
0.000 0.000 0.000
0.000 3.915 5.858
3.391 1.958 3.173
0.000 0.000 4.516
0.000 3.915 0.702
3.391 1.958 8.330
0.000 2.047 2.674
-1.618 4.849 2.674
1.772 1.023 6.357
1.618 4.849 2.674
5.009 1.023 6.357
3.391 3.826 6.357

***

(3)
BaHgSbAu PBE-GGA optimized geometry; formation energy (no corrections) = -0.46 eV per atom; space-group type = F-43m, No. 216
1.0
7.724 0.000 0.000
0.000 7.724 0.000
0.000 0.000 7.724
Ba Hg Sb Au
4 4 4 4
Cartesian
0.000 0.000 0.000
0.000 3.862 3.862
3.862 0.000 3.862
3.862 3.862 0.000
1.931 1.931 1.931
1.931 5.793 5.793
5.793 1.931 5.793
5.793 5.793 1.931
0.000 0.000 3.862
0.000 3.862 0.000
3.862 0.000 0.000
3.862 3.862 3.862
1.931 1.931 5.793
1.931 5.793 1.931
5.793 1.931 1.931
5.793 5.793 5.793

***

(4)
Ba2Hg3SbAu12 PBE-GGA optimized geometry; formation energy (no corrections) = -0.07 eV per atom; space-group type = R-3m, No. 166
1.0
4.534 2.617 7.556
-4.534 2.617 7.556
0.000 -5.235 7.556
Ba Hg Sb Au
2 3 1 12
Cartesian
0.000 0.000 2.592
0.000 0.000 20.075
-2.267 -1.309 7.556
-2.267 1.309 15.111
0.000 2.617 7.556
0.000 0.000 11.333
-2.182 -1.260 10.520
0.000 -1.811 5.884
-1.568 0.906 5.884
0.000 -2.519 12.147
-2.182 1.260 12.147
1.568 0.906 5.884
-1.568 -0.906 16.783
2.182 -1.260 10.520
0.000 2.519 10.520
1.568 -0.906 16.783
0.000 1.811 16.783
2.182 1.260 12.147

***

DOS(E_F) values, unit states/eV per atom, following the record order: 0.5169, 0.1450, 0.3673, 0.4639.